Entry from Alexandria: an optimized crystal structure of BaU4Te12Au3 (PBE).

Summary:
**Total DFT energy (no corrections)**: -0.19019 hartree per atom
**V**: 690.1 Å³/cell
**Density of states at the Fermi level**: 1.422 states/eV per atom
**E_form (uncorrected)**: -445.1 meV/atom

abc: 9.6422 9.6422 9.6422
angles: 109.47 109.47 109.47
Each line ends with the local moment (μB).
Fractional positions:
U: 0.0000 0.5000 0.0000  1.83
Te: 0.1681 0.4792 0.3111  -0.07
Ba: 0.0000 0.0000 0.0000  0.00
Te: 0.6889 0.8319 0.5208  -0.07
Te: 0.4792 0.3111 0.1681  -0.07
Te: 0.3111 0.8319 0.1430  -0.07
Au: 0.5000 0.5000 0.0000  -0.01
Te: 0.5208 0.6889 0.8319  -0.07
U: 0.0000 0.0000 0.5000  1.83
Te: 0.8319 0.5208 0.6889  -0.07
Te: 0.8319 0.1430 0.3111  -0.07
Te: 0.6889 0.1681 0.8570  -0.07
U: 0.5000 0.0000 0.0000  1.83
Te: 0.1681 0.8570 0.6889  -0.07
Au: 0.0000 0.5000 0.5000  -0.01
Au: 0.5000 0.0000 0.5000  -0.01
Te: 0.8570 0.6889 0.1681  -0.07
Te: 0.3111 0.1681 0.4792  -0.07
U: 0.5000 0.5000 0.5000  1.83
Te: 0.1430 0.3111 0.8319  -0.07



Entry from Alexandria: an optimized crystal structure of BiIr2N2 (PBE).

Summary:
**Total DFT energy (no corrections)**: -0.22651 hartree per atom
**V**: 148.9 Å³/cell
**Density of states at the Fermi level**: 0.499 states/eV per atom
**E_form (uncorrected)**: 1487.2 meV/atom
**Energy above the lowest structure with this stoichiometry**: 435 meV/atom

abc: 7.2121 7.2121 2.8631
angles: 90.00 90.00 90.00
Fractional positions:
N: 0.3894 0.8894 0.0000
Bi: 0.5000 0.5000 0.0000
N: 0.6106 0.1106 0.0000
Ir: 0.3747 0.1253 0.5000
N: 0.1106 0.3894 0.0000
Ir: 0.1253 0.6253 0.5000
Ir: 0.6253 0.8747 0.5000
Bi: 0.0000 0.0000 0.0000
Ir: 0.8747 0.3747 0.5000
N: 0.8894 0.6106 0.0000



Entry from Alexandria: an optimized crystal structure of TiAlIrPt2 (PBE).

Summary:
**Total DFT energy (no corrections)**: -0.22736 hartree per atom
**E_form**: 0.33 eV/atom
**V**: 90.8 Å³/cell
**Density of states at the Fermi level**: 2.073 states/eV per atom

abc: 4.5032 4.4754 4.5032
angles: 90.00 90.00 90.00
Each line ends with the local moment (μB).
Fractional positions:
Pt: 0.0000 0.0000 0.5000  0.01
Ir: 0.0000 0.5000 0.0000  -0.09
Al: 0.0000 0.0000 0.0000  0.00
Ti: 0.5000 0.5000 0.5000  0.07
Pt: 0.5000 0.0000 0.0000  0.00